# BaO10

An optimized crystal structure of BaO10 (GGA-PBEsol, Alexandria via LeMat-Bulk).

Geometry as POSCAR:
```
BaO10
1.0
5.6734 0.0000 0.0000
0.0000 5.6734 0.0000
0.0000 0.0000 10.0959
Ba O
2 20
Cartesian
0.0000 0.0000 2.5240 Ba
0.0000 0.0000 7.5719 Ba
0.3257 2.2908 1.0081 O
0.3257 2.2908 9.0878 O
0.3257 3.3826 4.0398 O
0.3257 3.3826 6.0561 O
2.2908 0.3257 4.0398 O
2.2908 0.3257 6.0561 O
2.2908 5.3477 1.0081 O
2.2908 5.3477 9.0878 O
2.8367 2.8367 0.6118 O
2.8367 2.8367 4.4362 O
2.8367 2.8367 5.6597 O
2.8367 2.8367 9.4841 O
3.3826 0.3257 1.0081 O
3.3826 0.3257 9.0878 O
3.3826 5.3477 4.0398 O
3.3826 5.3477 6.0561 O
5.3477 2.2908 4.0398 O
5.3477 2.2908 6.0561 O
5.3477 3.3826 1.0081 O
5.3477 3.3826 9.0878 O
```

Results
volume = 325 Å³ per cell
energy = -118.399 eV per cell
energy relative to the elements, uncorrected = -0.41 eV per atom